Ta2WBrO: relaxed, PBE+U.

## Properties
calculated volume: 21.767 Å³/atom
SG: P4/mmm (123)
total DFT energy (no corrections): -5.151 eV per atom

Structure (POSCAR):
```
Ta2WBrO
1.0
-4.6539 0.4282 0.2425
-0.2994 -4.4703 2.1495
0.4034 1.9984 4.2124
O Br W Ta
1 1 1 2
Direct
0.5000 0.5000 0.5000 O
0.0000 0.0000 0.0000 Br
0.0000 0.5000 0.0000 W
0.0000 0.0000 0.5000 Ta
0.5000 0.0000 0.0000 Ta
```